[1]
ZrRhW2 | GGA-PBE | optimized geometry

```
ZrRhW2
1.0
-2.114 -3.312 2.147
2.442 -1.386 0.266
1.736 1.989 4.777
W Rh Zr
2 1 1
direct
0.500 0.234 0.229
0.000 0.011 0.016
0.500 0.765 0.748
0.000 0.490 0.507
```

The density of states at the Fermi level comes out at 0.951 states/eV/atom. The volume comes out at 67.8 Å³ per cell. The formation energy is -0.006 eV/atom. The energy above the lowest structure with this stoichiometry comes out at 112 meV/atom.

***

[2]
ZrRhW2 | GGA-PBE | optimized geometry

```
ZrRhW2
1.0
-0.274 -2.288 1.614
1.224 -1.556 -1.998
7.688 1.551 3.502
Rh W Zr
1 2 1
direct
0.500 0.500 0.768
0.000 0.000 0.979
0.500 0.500 0.236
0.000 0.000 0.517
```

The density of states at the Fermi level comes out at 0.777 states/eV/atom. The volume comes out at 68.0 Å³ per cell. The formation energy is 0.015 eV/atom. The energy above the lowest structure with this stoichiometry comes out at 133 meV/atom.

***

[3]
ZrRhW2 | GGA-PBE | optimized geometry

```
ZrRhW2
1.0
9.939 0.000 0.000
9.534 2.808 0.000
9.534 1.375 2.448
Rh Zr W
1 1 2
direct
0.750 0.750 0.750
0.250 0.250 0.250
0.008 0.008 0.008
0.492 0.492 0.492
```

The density of states at the Fermi level comes out at 0.877 states/eV/atom. The volume comes out at 68.3 Å³ per cell. The formation energy is 0.236 eV/atom. The energy above the lowest structure with this stoichiometry comes out at 354 meV/atom.

***

[4]
ZrRhW2 | GGA-PBE | optimized geometry

```
ZrRhW2
1.0
-0.151 0.970 5.171
3.319 -2.949 2.827
-0.244 3.523 -3.903
Rh W Zr
1 2 1
direct
0.243 0.743 0.500
0.764 0.264 0.500
0.994 0.994 0.000
0.499 0.499 0.000
```

The density of states at the Fermi level comes out at 1.020 states/eV/atom. The volume comes out at 68.4 Å³ per cell. The formation energy is 0.031 eV/atom. The energy above the lowest structure with this stoichiometry comes out at 149 meV/atom.